This record from Alexandria describes LuScNi4 after structural relaxation. The functional is PBE.

CIF file:
```
data_LuScNi4
_symmetry_space_group_name_H-M 'F -4 3 m'
_symmetry_Int_Tables_number 216
_symmetry_space_group_name_Hall 'F -4 2 3'
_cell_length_a 6.994
_cell_length_b 6.994
_cell_length_c 6.994
_cell_angle_alpha 90.00
_cell_angle_beta 90.00
_cell_angle_gamma 90.00
loop_
_atom_site_label
_atom_site_type_symbol
_atom_site_fract_x
_atom_site_fract_y
_atom_site_fract_z
Lu1 Lu 0.000 0.000 0.000
Sc1 Sc 0.250 0.250 0.750
Ni1 Ni 0.125 0.125 0.375
```

## Properties
As for the total energy: -37.1 eV/f.u.

***

This record from Alexandria describes Fe10NiN8 after structural relaxation. The functional is PBE.

CIF file:
```
data_Fe10NiN8
_symmetry_space_group_name_H-M 'C 1 2/m 1'
_symmetry_Int_Tables_number 12
_cell_length_a 15.463
_cell_length_b 3.813
_cell_length_c 6.319
_cell_angle_alpha 90.00
_cell_angle_beta 99.22
_cell_angle_gamma 90.00
loop_
_symmetry_equiv_pos_as_xyz
'x,y,z'
'-x,-y,-z'
'-x,y,-z'
'x,-y,z'
'x+1/2,y+1/2,z'
'-x+1/2,-y+1/2,-z'
'-x+1/2,y+1/2,-z'
'x+1/2,-y+1/2,z'
loop_
_atom_site_label
_atom_site_type_symbol
_atom_site_fract_x
_atom_site_fract_y
_atom_site_fract_z
Fe1 Fe 0.016 0.000 0.205
Fe2 Fe 0.092 0.500 0.011
Fe3 Fe 0.160 0.000 0.724
Fe4 Fe 0.171 0.500 0.464
Fe5 Fe 0.218 0.000 0.166
Ni1 Ni 0.000 0.500 0.500
N1 N 0.063 0.500 0.286
N2 N 0.105 0.000 0.994
N3 N 0.160 0.500 0.761
N4 N 0.193 0.000 0.446
```

## Properties
The uncorrected formation energy is 0.155 eV/atom.

***

This record from Alexandria describes TmCoSiNi after structural relaxation. The functional is PBE.

CIF file:
```
data_TmCoSiNi
_symmetry_space_group_name_H-M 'A m m 2'
_symmetry_Int_Tables_number 38
_cell_length_a 4.136
_cell_length_b 3.280
_cell_length_c 9.079
_cell_angle_alpha 90.00
_cell_angle_beta 90.00
_cell_angle_gamma 90.00
loop_
_symmetry_equiv_pos_as_xyz
'x,y,z'
'-x,-y,z'
'-x,y,z'
'x,-y,z'
'x,y+1/2,z+1/2'
'-x,-y+1/2,z+1/2'
'-x,y+1/2,z+1/2'
'x,-y+1/2,z+1/2'
loop_
_atom_site_label
_atom_site_type_symbol
_atom_site_fract_x
_atom_site_fract_y
_atom_site_fract_z
Tm1 Tm 0.000 0.000 0.000
Co1 Co 0.500 0.000 0.330
Si1 Si 0.500 0.000 0.637
Ni1 Ni 0.000 0.000 0.733
```

## Properties
The uncorrected formation energy is -0.308 eV/atom.

***

This record from Alexandria describes LiTl2Os after structural relaxation. The functional is PBE.

CIF file:
```
data_LiTl2Os
_symmetry_space_group_name_H-M 'C m m 2'
_symmetry_Int_Tables_number 35
_cell_length_a 3.214
_cell_length_b 4.956
_cell_length_c 10.785
_cell_angle_alpha 90.00
_cell_angle_beta 90.00
_cell_angle_gamma 90.00
loop_
_symmetry_equiv_pos_as_xyz
'x,y,z'
'-x,-y,z'
'-x,y,z'
'x,-y,z'
'x+1/2,y+1/2,z'
'-x+1/2,-y+1/2,z'
'-x+1/2,y+1/2,z'
'x+1/2,-y+1/2,z'
loop_
_atom_site_label
_atom_site_type_symbol
_atom_site_fract_x
_atom_site_fract_y
_atom_site_fract_z
Li1 Li 0.000 0.000 0.000
Tl1 Tl 0.000 0.000 0.582
Tl2 Tl 0.000 0.500 0.252
Os1 Os 0.000 0.500 0.813
```

## Properties
As for the energy above the most stable polymorph in this dataset: 180 meV per atom.

***

This record from Alexandria describes ZrTlCl2 after structural relaxation. The functional is PBE.

CIF file:
```
data_ZrTlCl2
_symmetry_space_group_name_H-M 'I 4/m m m'
_symmetry_Int_Tables_number 139
_symmetry_space_group_name_Hall '-I 4 2'
_cell_length_a 4.492
_cell_length_b 4.492
_cell_length_c 8.827
_cell_angle_alpha 90.00
_cell_angle_beta 90.00
_cell_angle_gamma 90.00
loop_
_atom_site_label
_atom_site_type_symbol
_atom_site_fract_x
_atom_site_fract_y
_atom_site_fract_z
Zr1 Zr 0.000 0.000 0.000
Tl1 Tl 0.000 0.000 0.500
Cl1 Cl 0.000 0.500 0.250
```

## Properties
The uncorrected formation energy is -0.370 eV/atom. As for the energy above the most stable polymorph in this dataset: 708 meV per atom.

***

This record from Alexandria describes Co3W after structural relaxation. The functional is PBE.

CIF file:
```
data_Co3W
_symmetry_space_group_name_H-M 'P -6 m 2'
_symmetry_Int_Tables_number 187
_symmetry_space_group_name_Hall 'P -6 2'
_cell_length_a 2.6441
_cell_length_b 2.6441
_cell_length_c 8.2240
_cell_angle_alpha 90.00
_cell_angle_beta 90.00
_cell_angle_gamma 120.00
loop_
_atom_site_label
_atom_site_type_symbol
_atom_site_fract_x
_atom_site_fract_y
_atom_site_fract_z
Co1 Co 0.0000 0.0000 0.0000
Co2 Co 0.6667 0.3333 0.2363
W1 W 0.0000 0.0000 0.5000
```

## Properties
As for the total energy: -33.4 eV/f.u.

***

This record from Alexandria describes CrCoGePdS after structural relaxation. The functional is PBE.

CIF file:
```
data_CrCoGePdS
_symmetry_space_group_name_H-M 'P m m 2'
_symmetry_Int_Tables_number 25
_cell_length_a 3.159
_cell_length_b 3.413
_cell_length_c 6.722
_cell_angle_alpha 90.00
_cell_angle_beta 90.00
_cell_angle_gamma 90.00
loop_
_symmetry_equiv_pos_as_xyz
'x,y,z'
'-x,-y,z'
'-x,y,z'
'x,-y,z'
loop_
_atom_site_label
_atom_site_type_symbol
_atom_site_fract_x
_atom_site_fract_y
_atom_site_fract_z
Cr1 Cr 0.000 0.000 0.000
Co1 Co 0.500 0.500 0.252
Ge1 Ge 0.000 0.000 0.373
Pd1 Pd 0.000 0.500 0.632
S1 S 0.500 0.500 0.922
```

## Properties
The uncorrected formation energy is -0.222 eV/atom. As for the energy above the most stable polymorph in this dataset: 74 meV per atom.

***

This record from Alexandria describes ZrSc2Co after structural relaxation. The functional is PBE.

CIF file:
```
data_ZrSc2Co
_symmetry_space_group_name_H-M 'I m m 2'
_symmetry_Int_Tables_number 44
_cell_length_a 3.313
_cell_length_b 4.867
_cell_length_c 9.742
_cell_angle_alpha 90.00
_cell_angle_beta 90.00
_cell_angle_gamma 90.00
loop_
_symmetry_equiv_pos_as_xyz
'x,y,z'
'-x,-y,z'
'-x,y,z'
'x,-y,z'
'x+1/2,y+1/2,z+1/2'
'-x+1/2,-y+1/2,z+1/2'
'-x+1/2,y+1/2,z+1/2'
'x+1/2,-y+1/2,z+1/2'
loop_
_atom_site_label
_atom_site_type_symbol
_atom_site_fract_x
_atom_site_fract_y
_atom_site_fract_z
Zr1 Zr 0.000 0.000 0.000
Sc1 Sc 0.000 0.000 0.407
Sc2 Sc 0.000 0.500 0.204
Co1 Co 0.000 0.500 0.700
```

## Properties
As for the energy above the most stable polymorph in this dataset: 42 meV per atom.

***

This record from Alexandria describes CoTc4Ni after structural relaxation. The functional is PBE.

CIF file:
```
data_CoTc4Ni
_symmetry_space_group_name_H-M 'F -4 3 m'
_symmetry_Int_Tables_number 216
_symmetry_space_group_name_Hall 'F -4 2 3'
_cell_length_a 7.095
_cell_length_b 7.095
_cell_length_c 7.095
_cell_angle_alpha 90.00
_cell_angle_beta 90.00
_cell_angle_gamma 90.00
loop_
_atom_site_label
_atom_site_type_symbol
_atom_site_fract_x
_atom_site_fract_y
_atom_site_fract_z
Co1 Co 0.000 0.000 0.000
Tc1 Tc 0.125 0.125 0.375
Ni1 Ni 0.250 0.250 0.750
```

## Properties
As for the total energy: -50.8 eV/f.u.

***

This record from Alexandria describes CePm2Al3 after structural relaxation. The functional is PBE.

CIF file:
```
data_CePm2Al3
_symmetry_space_group_name_H-M 'P 1 2/m 1'
_symmetry_Int_Tables_number 10
_cell_length_a 5.201
_cell_length_b 7.443
_cell_length_c 8.228
_cell_angle_alpha 90.00
_cell_angle_beta 108.37
_cell_angle_gamma 90.00
loop_
_symmetry_equiv_pos_as_xyz
'x,y,z'
'-x,-y,-z'
'-x,y,-z'
'x,-y,z'
loop_
_atom_site_label
_atom_site_type_symbol
_atom_site_fract_x
_atom_site_fract_y
_atom_site_fract_z
Ce1 Ce 0.168 0.000 0.336
Pm1 Pm 0.168 0.500 0.335
Pm2 Pm 0.500 0.000 0.000
Pm3 Pm 0.500 0.500 0.000
Al1 Al 0.000 0.252 0.000
Al2 Al 0.335 0.252 0.669
```

## Properties
As for the total energy: -28.6 eV/f.u.

***

This record from Alexandria describes AcV4N7 after structural relaxation. The functional is PBE.

CIF file:
```
data_AcV4N7
_symmetry_space_group_name_H-M 'P m m n'
_symmetry_Int_Tables_number 59
_cell_length_a 4.010
_cell_length_b 13.514
_cell_length_c 5.390
_cell_angle_alpha 90.00
_cell_angle_beta 90.00
_cell_angle_gamma 90.00
loop_
_symmetry_equiv_pos_as_xyz
'x,y,z'
'-x,-y,-z'
'-x+1/2,-y+1/2,z'
'x+1/2,y+1/2,-z'
'x+1/2,-y,-z'
'-x+1/2,y,z'
'-x,y+1/2,-z'
'x,-y+1/2,z'
loop_
_atom_site_label
_atom_site_type_symbol
_atom_site_fract_x
_atom_site_fract_y
_atom_site_fract_z
Ac1 Ac 0.250 0.250 0.143
V1 V 0.250 0.501 0.828
V2 V 0.250 0.629 0.338
N1 N 0.250 0.003 0.182
N2 N 0.250 0.124 0.718
N3 N 0.250 0.632 0.664
N4 N 0.250 0.750 0.181
```

## Properties
The uncorrected formation energy is -0.953 eV/atom.

***

This record from Alexandria describes Cs2Pm2Bi2Se after structural relaxation. The functional is PBE.

CIF file:
```
data_Cs2Pm2Bi2Se
_symmetry_space_group_name_H-M 'I 4/m m m'
_symmetry_Int_Tables_number 139
_symmetry_space_group_name_Hall '-I 4 2'
_cell_length_a 5.606
_cell_length_b 5.606
_cell_length_c 19.766
_cell_angle_alpha 90.00
_cell_angle_beta 90.00
_cell_angle_gamma 90.00
loop_
_atom_site_label
_atom_site_type_symbol
_atom_site_fract_x
_atom_site_fract_y
_atom_site_fract_z
Cs1 Cs 0.000 0.000 0.184
Pm1 Pm 0.000 0.500 0.000
Bi1 Bi 0.000 0.000 0.396
Se1 Se 0.000 0.000 0.000
```

## Properties
The uncorrected formation energy is -0.935 eV/atom.